The following is a meta-GGA SCAN calculation of a PBEsol-optimized structure of CaZn2Fe, from the Alexandria database.

```
data_CaZn2Fe
_symmetry_space_group_name_H-M 'P m m m'
_symmetry_Int_Tables_number 47
_symmetry_space_group_name_Hall '-P 2 2'
_cell_length_a 2.8983
_cell_length_b 3.4802
_cell_length_c 6.5600
_cell_angle_alpha 90.00
_cell_angle_beta 90.00
_cell_angle_gamma 90.00
loop_
_atom_site_label
_atom_site_type_symbol
_atom_site_fract_x
_atom_site_fract_y
_atom_site_fract_z
Ca1 Ca 0.0000 0.0000 0.0000
Zn1 Zn 0.5000 0.5000 0.3099
Fe1 Fe 0.0000 0.0000 0.5000
```

Properties
Energy relative to the elements = 0.27 kcal/mol of atoms
Total magnetization = 2.61 Bohr magnetons per cell
Fermi-level density of states = 0.4984 states/eV per atom
Calculated volume = 66.17 Å³ per cell